1.
# CaPdSe | Alexandria via LeMat-Bulk | PBE | relaxed
# * E above lowest polymorph: 119 meV/atom
# * calculated volume: 22.4 Å³ per atom
# * E: -55.2 eV for the cell shown
# * crystal system: cubic
# * ΔE_f (raw): -100.7 kJ/mol of atoms
data_CaPdSe
_symmetry_space_group_name_H-M 'F -4 3 m'
_symmetry_Int_Tables_number 216
_symmetry_space_group_name_Hall 'F -4 2 3'
_cell_length_a 6.451
_cell_length_b 6.451
_cell_length_c 6.451
_cell_angle_alpha 90.00
_cell_angle_beta 90.00
_cell_angle_gamma 90.00
loop_
_atom_site_label
_atom_site_type_symbol
_atom_site_fract_x
_atom_site_fract_y
_atom_site_fract_z
Ca1 Ca 0.000 0.000 0.000
Pd1 Pd 0.250 0.250 0.250
Se1 Se 0.000 0.000 0.500


2.
# CaLa12Tb7 | Alexandria via LeMat-Bulk | PBE | relaxed
# * calculated volume: 40.2 Å³ per atom
# * E: -164.3 eV for the cell shown
# * ΔH_f (0 K): 0.5707 eV/atom
# * crystal system: cubic
data_CaLa12Tb7
_symmetry_space_group_name_H-M 'I m -3'
_symmetry_Int_Tables_number 204
_symmetry_space_group_name_Hall '-I 2 2 3'
_cell_length_a 11.718
_cell_length_b 11.718
_cell_length_c 11.718
_cell_angle_alpha 90.00
_cell_angle_beta 90.00
_cell_angle_gamma 90.00
loop_
_atom_site_label
_atom_site_type_symbol
_atom_site_fract_x
_atom_site_fract_y
_atom_site_fract_z
Ca1 Ca 0.000 0.000 0.000
La1 La 0.000 0.223 0.292
Tb1 Tb 0.000 0.000 0.500
Tb2 Tb 0.250 0.250 0.250


3.
# PuCuBr4 | Alexandria via LeMat-Bulk | PBE | relaxed
# * E above lowest polymorph: 0 meV/atom
# * calculated volume: 32.8 Å³ per atom
# * E: -31.3 eV for the cell shown
# * crystal system: monoclinic
# * ΔE_f (raw): -99.0 kJ/mol of atoms
data_PuCuBr4
_symmetry_space_group_name_H-M 'P 1 2/m 1'
_symmetry_Int_Tables_number 10
_cell_length_a 6.972
_cell_length_b 4.045
_cell_length_c 7.000
_cell_angle_alpha 90.00
_cell_angle_beta 93.86
_cell_angle_gamma 90.00
loop_
_symmetry_equiv_pos_as_xyz
'x,y,z'
'-x,-y,-z'
'-x,y,-z'
'x,-y,z'
loop_
_atom_site_label
_atom_site_type_symbol
_atom_site_fract_x
_atom_site_fract_y
_atom_site_fract_z
Pu1 Pu 0.000 0.000 0.000
Cu1 Cu 0.500 0.500 0.000
Br1 Br 0.170 0.500 0.251
Br2 Br 0.344 0.000 0.796


4.
# VPSe2Br | Alexandria via LeMat-Bulk | PBE | relaxed
# * E above lowest polymorph: 428 meV/atom
# * calculated volume: 23.2 Å³ per atom
# * E: -19.2 eV for the cell shown
# * crystal system: tetragonal
# * ΔE_f (raw): 77.3 kJ/mol of atoms
data_VPSe2Br
_symmetry_space_group_name_H-M 'P 4/m m m'
_symmetry_Int_Tables_number 123
_symmetry_space_group_name_Hall '-P 4 2'
_cell_length_a 4.884
_cell_length_b 4.884
_cell_length_c 4.857
_cell_angle_alpha 90.00
_cell_angle_beta 90.00
_cell_angle_gamma 90.00
loop_
_atom_site_label
_atom_site_type_symbol
_atom_site_fract_x
_atom_site_fract_y
_atom_site_fract_z
V1 V 0.000 0.000 0.000
P1 P 0.500 0.500 0.500
Se1 Se 0.000 0.500 0.500
Br1 Br 0.500 0.500 0.000